Entry 1:
CaOsPd2 | GGA-PBE | relaxed

The structure in POSCAR format:
```
CaOsPd2
1.0
0.000 3.277 3.277
3.277 0.000 3.277
3.277 3.277 0.000
Ca Os Pd
1 1 2
Direct
0.000 0.000 0.000 Ca
0.500 0.500 0.500 Os
0.250 0.250 0.250 Pd
0.750 0.750 0.750 Pd
```

For the formation enthalpy at 0 K, the calculation gives 0.24 eV per atom. The calculation puts the volume at 17.60 Å³ per atom. The value obtained for the spin magnetization is 1.97 μB per formula unit. The relative energy among the computed polymorphs comes out at 0 meV/atom. As for the crystal system: cubic.

***

Entry 2:
Ca2OsPd | GGA-PBE | relaxed

The structure in POSCAR format:
```
Ca2OsPd
1.0
2.704 0.941 3.970
-1.091 -2.136 4.267
2.945 -3.455 1.831
Ca Os Pd
2 1 1
Direct
0.250 0.250 0.250 Ca
0.750 0.750 0.750 Ca
0.500 0.500 0.500 Os
0.000 0.000 0.000 Pd
```

For the formation enthalpy at 0 K, the calculation gives 0.20 eV per atom. The calculation puts the volume at 20.74 Å³ per atom. The value obtained for the spin magnetization is 0.00 μB per formula unit. The relative energy among the computed polymorphs comes out at 0 meV/atom. As for the crystal system: cubic.

***

Entry 3:
Ca3OsPd | GGA-PBE | relaxed

The structure in POSCAR format:
```
Ca3OsPd
1.0
-0.180 0.366 5.345
4.964 -2.000 0.304
2.015 4.960 -0.272
Ca Os Pd
3 1 1
Direct
0.000 0.500 0.000 Ca
0.000 0.000 0.500 Ca
0.500 0.000 0.000 Ca
0.000 0.000 0.000 Os
0.500 0.500 0.500 Pd
```

For the formation enthalpy at 0 K, the calculation gives 0.43 eV per atom. The calculation puts the volume at 30.80 Å³ per atom. The value obtained for the spin magnetization is 0.00 μB per formula unit. The relative energy among the computed polymorphs comes out at 0 meV/atom. As for the crystal system: cubic.

***

Entry 4:
CaOs2Pd | GGA-PBE | relaxed

The structure in POSCAR format:
```
CaOs2Pd
1.0
0.000 3.221 3.221
3.221 0.000 3.221
3.221 3.221 0.000
Ca Os Pd
1 2 1
Direct
0.000 0.000 0.000 Ca
0.250 0.250 0.250 Os
0.750 0.750 0.750 Os
0.500 0.500 0.500 Pd
```

For the formation enthalpy at 0 K, the calculation gives 0.97 eV per atom. The calculation puts the volume at 16.71 Å³ per atom. The value obtained for the spin magnetization is 0.00 μB per formula unit. The relative energy among the computed polymorphs comes out at 140 meV/atom. As for the crystal system: cubic.

***

Entry 5:
CaOsPd2 | GGA-PBE | relaxed

The structure in POSCAR format:
```
CaOsPd2
1.0
4.195 0.000 0.000
0.000 4.195 0.000
2.097 2.097 8.985
Ca Os Pd
2 2 4
Direct
0.500 0.500 0.000 Ca
0.250 0.750 0.500 Ca
0.000 0.000 0.000 Os
0.750 0.250 0.500 Os
0.671 0.125 0.250 Pd
0.079 0.625 0.250 Pd
0.375 0.329 0.750 Pd
0.875 0.921 0.750 Pd
```

For the formation enthalpy at 0 K, the calculation gives 0.53 eV per atom. The calculation puts the volume at 19.76 Å³ per atom. The value obtained for the spin magnetization is 0.75 μB per formula unit. The relative energy among the computed polymorphs comes out at 288 meV/atom. As for the crystal system: tetragonal.

***

Entry 6:
CaOs2Pd | GGA-PBE | relaxed

The structure in POSCAR format:
```
CaOs2Pd
1.0
-4.642 -5.508 -3.454
6.306 -4.848 -0.744
0.350 -6.139 0.080
Ca Os Pd
2 4 2
Direct
0.500 0.500 0.000 Ca
0.250 0.750 0.500 Ca
0.680 0.125 0.250 Os
0.070 0.625 0.250 Os
0.375 0.320 0.750 Os
0.875 0.930 0.750 Os
0.000 0.000 0.000 Pd
0.750 0.250 0.500 Pd
```

For the formation enthalpy at 0 K, the calculation gives 0.83 eV per atom. The calculation puts the volume at 19.39 Å³ per atom. The value obtained for the spin magnetization is 0.00 μB per formula unit. The relative energy among the computed polymorphs comes out at 0 meV/atom. As for the crystal system: tetragonal.